A relaxed CeTmLu2 crystal, computed with GGA-PBE.

Output
Its total DFT energy (no corrections) is -4.7348 eV/atom. As for the formation energy: 0.127 eV/atom. Its polymorph energy (0 for the lowest one) is 5.9 kJ per mole of atoms.

Cell and atoms, written as CIF:
```
data_CeTmLu2
_chemical_formula_sum 'Ce4 Tm4 Lu8'
_symmetry_space_group_name_H-M 'F m -3 m'
_symmetry_Int_Tables_number 225
_symmetry_space_group_name_Hall '-F 4 2 3'
_cell_length_a 7.8507
_cell_length_b 7.8507
_cell_length_c 7.8507
_cell_angle_alpha 90.00
_cell_angle_beta 90.00
_cell_angle_gamma 90.00
loop_
_atom_site_label
_atom_site_type_symbol
_atom_site_fract_x
_atom_site_fract_y
_atom_site_fract_z
Ce1 Ce 0.0000 0.0000 0.0000
Tm1 Tm 0.0000 0.0000 0.5000
Lu1 Lu 0.2500 0.2500 0.2500
```

---

A relaxed CeTmLu2 crystal, computed with GGA-PBE.

Output
Its total DFT energy (no corrections) is -4.7955 eV/atom. As for the formation energy: 0.066 eV/atom. Its polymorph energy (0 for the lowest one) is 0.0 kJ per mole of atoms.

Cell and atoms, written as CIF:
```
data_CeTmLu2
_chemical_formula_sum 'Ce1 Tm1 Lu2'
_symmetry_space_group_name_H-M 'P 4/m m m'
_symmetry_Int_Tables_number 123
_symmetry_space_group_name_Hall '-P 4 2'
_cell_length_a 4.9212
_cell_length_b 4.9212
_cell_length_c 4.8947
_cell_angle_alpha 90.00
_cell_angle_beta 90.00
_cell_angle_gamma 90.00
loop_
_atom_site_label
_atom_site_type_symbol
_atom_site_fract_x
_atom_site_fract_y
_atom_site_fract_z
Ce1 Ce 0.0000 0.0000 0.0000
Tm1 Tm 0.5000 0.5000 0.0000
Lu1 Lu 0.0000 0.5000 0.5000
```

---

A relaxed Ce2TmLu crystal, computed with GGA-PBE.

Output
Its total DFT energy (no corrections) is -5.1157 eV/atom. As for the formation energy: 0.099 eV/atom. Its polymorph energy (0 for the lowest one) is 1.9 kJ per mole of atoms.

Cell and atoms, written as CIF:
```
data_Ce2TmLu
_chemical_formula_sum 'Ce2 Tm1 Lu1'
_symmetry_space_group_name_H-M 'P 4/m m m'
_symmetry_Int_Tables_number 123
_symmetry_space_group_name_Hall '-P 4 2'
_cell_length_a 4.8891
_cell_length_b 4.8891
_cell_length_c 4.9369
_cell_angle_alpha 90.00
_cell_angle_beta 90.00
_cell_angle_gamma 90.00
loop_
_atom_site_label
_atom_site_type_symbol
_atom_site_fract_x
_atom_site_fract_y
_atom_site_fract_z
Ce1 Ce 0.0000 0.5000 0.0000
Tm1 Tm 0.0000 0.0000 0.5000
Lu1 Lu 0.5000 0.5000 0.5000
```

---

What did the second record say?
A relaxed CeTmLu2 crystal, computed with GGA-PBE.

Output
Its total DFT energy (no corrections) is -4.7955 eV/atom. As for the formation energy: 0.066 eV/atom. Its polymorph energy (0 for the lowest one) is 0.0 kJ per mole of atoms.

Cell and atoms, written as CIF:
```
data_CeTmLu2
_chemical_formula_sum 'Ce1 Tm1 Lu2'
_symmetry_space_group_name_H-M 'P 4/m m m'
_symmetry_Int_Tables_number 123
_symmetry_space_group_name_Hall '-P 4 2'
_cell_length_a 4.9212
_cell_length_b 4.9212
_cell_length_c 4.8947
_cell_angle_alpha 90.00
_cell_angle_beta 90.00
_cell_angle_gamma 90.00
loop_
_atom_site_label
_atom_site_type_symbol
_atom_site_fract_x
_atom_site_fract_y
_atom_site_fract_z
Ce1 Ce 0.0000 0.0000 0.0000
Tm1 Tm 0.5000 0.5000 0.0000
Lu1 Lu 0.0000 0.5000 0.5000
```

---

Question: What is the total DFT energy (no corrections) in the second record?
Answer: -4.7955 eV/atom

---

Question: What is the formula in the first record?
Answer: CeTmLu2